## A
! Si3Mo | Alexandria via LeMat-Bulk | PBE | optimized geometry; values from VASP
! - total magnetization (μB per cell) = 0.00
! - DOS(E_F) (states/eV/cell) = 1.89
! - theoretical density (g/cm3) = 5.29
&SYSTEM
  ibrav = 0, nat = 4, ntyp = 2
/
ATOMIC_SPECIES
Si 28.09 Si.upf
Mo 95.94 Mo.upf
CELL_PARAMETERS angstrom
-3.9254 0.7999 1.5860
-1.9232 -2.8913 2.5506
-0.4997 0.8263 4.1990
ATOMIC_POSITIONS angstrom
Si -1.5871 -0.3163 2.0839
Si -4.7613 -0.9489 6.2517
Mo 0.0000 0.0000 0.0000
Si -3.1742 -0.6326 4.1678

## B
! Si3Mo | Alexandria via LeMat-Bulk | PBE | optimized geometry; values from VASP
! - total magnetization (μB per cell) = 0.00
! - DOS(E_F) (states/eV/cell) = 4.58
! - theoretical density (g/cm3) = 4.88
&SYSTEM
  ibrav = 0, nat = 8, ntyp = 2
/
ATOMIC_SPECIES
Mo 95.94 Mo.upf
Si 28.09 Si.upf
CELL_PARAMETERS angstrom
-1.8307 3.3116 -3.6286
-3.3034 -2.2860 3.3685
0.6192 3.9297 3.2740
ATOMIC_POSITIONS angstrom
Mo -2.1034 3.4573 2.3290
Si -4.0616 0.3564 2.3672
Si -1.3671 6.2558 -1.1692
Si -3.1478 -1.3005 4.1832
Mo -2.4115 1.4980 0.6850
Si -3.0180 5.1112 0.5168
Si -0.4533 4.5989 0.6467
Si -1.4969 -0.1559 2.4972

## C
! Si3Mo | Alexandria via LeMat-Bulk | PBE | optimized geometry; values from VASP
! - total magnetization (μB per cell) = 0.00
! - DOS(E_F) (states/eV/cell) = 1.77
! - theoretical density (g/cm3) = 5.07
&SYSTEM
  ibrav = 0, nat = 4, ntyp = 2
/
ATOMIC_SPECIES
Si 28.09 Si.upf
Mo 95.94 Mo.upf
CELL_PARAMETERS angstrom
7.6067 0.0081 0.0048
6.9983 2.9810 0.0048
6.9983 1.4323 2.6144
ATOMIC_POSITIONS angstrom
Si 5.3892 1.1030 0.6546
Si 10.8017 2.2107 1.3120
Mo 0.0000 0.0000 0.0000
Si 16.2142 3.3184 1.9694

## D
! Si3Mo | Alexandria via LeMat-Bulk | PBE | optimized geometry; values from VASP
! - total magnetization (μB per cell) = 0.00
! - DOS(E_F) (states/eV/cell) = 1.61
! - theoretical density (g/cm3) = 5.38
&SYSTEM
  ibrav = 0, nat = 8, ntyp = 2
/
ATOMIC_SPECIES
Mo 95.94 Mo.upf
Si 28.09 Si.upf
CELL_PARAMETERS angstrom
4.8099 0.0000 0.0000
0.0000 4.8099 0.0000
0.0000 0.0000 4.8099
ATOMIC_POSITIONS angstrom
Mo 2.4050 2.4050 2.4050
Si 1.2025 2.4050 0.0000
Si 0.0000 3.6074 2.4050
Si 2.4050 0.0000 3.6074
Si 2.4050 0.0000 1.2025
Mo 0.0000 0.0000 0.0000
Si 3.6074 2.4050 0.0000
Si 0.0000 1.2025 2.4050

Referenced to the most stable arrangement, the calculated values in meV per atom are A 383; B 359; C 134; D 0.

## A
! Si5Mo | Alexandria via LeMat-Bulk | PBE | optimized geometry; values from VASP
! - total magnetization (μB per cell) = 0.00
! - DOS(E_F) (states/eV/cell) = 3.36
! - theoretical density (g/cm3) = 4.35
&SYSTEM
  ibrav = 0, nat = 6, ntyp = 2
/
ATOMIC_SPECIES
Mo 95.94 Mo.upf
Si 28.09 Si.upf
CELL_PARAMETERS angstrom
0.5163 3.8072 -2.7609
-4.0890 -0.7463 2.2599
1.5709 2.4300 3.6447
ATOMIC_POSITIONS angstrom
Mo 0.0000 0.0000 0.0000
Si -1.2591 0.8418 2.9523
Si -1.0009 2.7454 1.5719
Si -2.5539 0.7715 0.5863
Si 1.0436 3.1186 0.4419
Si -1.0188 2.2894 -1.0873

## B
! Si5Mo | Alexandria via LeMat-Bulk | PBE | optimized geometry; values from VASP
! - total magnetization (μB per cell) = 0.00
! - DOS(E_F) (states/eV/cell) = 3.38
! - theoretical density (g/cm3) = 4.64
&SYSTEM
  ibrav = 0, nat = 6, ntyp = 2
/
ATOMIC_SPECIES
Si 28.09 Si.upf
Mo 95.94 Mo.upf
CELL_PARAMETERS angstrom
-2.3339 -2.6508 3.4365
0.6617 1.0262 4.7742
-3.6534 2.0253 2.6143
ATOMIC_POSITIONS angstrom
Si -3.6559 -0.2611 4.3820
Si -3.3262 0.2502 6.7610
Si -2.1632 1.5712 5.0486
Si -1.3314 0.1002 2.7062
Si -1.5057 -0.7590 5.4583
Mo 0.0000 0.0000 0.0000

Referenced to the most stable arrangement, the calculated values in meV per atom are A 140; B 0.